1.
Below is crystalline LaY2In at its relaxed geometry, with properties calculated at the GGA-PBE level.

The density comes out at 5.87 g/cm³. As for the crystal system: cubic. Its formation energy from the elements is -154 meV per atom.

Cell and atoms, written as CIF:
```
data_LaY2In
_symmetry_space_group_name_H-M 'P 1'
_symmetry_Int_Tables_number 1
_cell_length_a 5.567
_cell_length_b 5.567
_cell_length_c 5.567
_cell_angle_alpha 60.00
_cell_angle_beta 60.00
_cell_angle_gamma 60.00
loop_
_symmetry_equiv_pos_as_xyz
'x,y,z'
loop_
_atom_site_label
_atom_site_type_symbol
_atom_site_fract_x
_atom_site_fract_y
_atom_site_fract_z
La1 La 0.000 0.000 0.000
Y1 Y 0.250 0.250 0.250
Y2 Y 0.500 0.500 0.500
In1 In 0.750 0.750 0.750
```

2.
Below is crystalline LaY12In3 at its relaxed geometry, with properties calculated at the GGA-PBE level.

The density comes out at 5.37 g/cm³. As for the crystal system: tetragonal. Its formation energy from the elements is -185 meV per atom.

Cell and atoms, written as CIF:
```
data_LaY12In3
_symmetry_space_group_name_H-M 'P 1'
_symmetry_Int_Tables_number 1
_cell_length_a 4.883
_cell_length_b 4.883
_cell_length_c 20.090
_cell_angle_alpha 90.00
_cell_angle_beta 90.00
_cell_angle_gamma 90.00
loop_
_symmetry_equiv_pos_as_xyz
'x,y,z'
loop_
_atom_site_label
_atom_site_type_symbol
_atom_site_fract_x
_atom_site_fract_y
_atom_site_fract_z
La1 La 0.000 0.000 0.000
Y1 Y 0.000 0.500 0.135
Y2 Y 0.000 0.500 0.379
Y3 Y 0.000 0.500 0.621
Y4 Y 0.000 0.500 0.865
Y5 Y 0.500 0.000 0.135
Y6 Y 0.500 0.000 0.379
Y7 Y 0.500 0.000 0.621
Y8 Y 0.500 0.000 0.865
Y9 Y 0.500 0.500 0.000
Y10 Y 0.500 0.500 0.259
Y11 Y 0.500 0.500 0.500
Y12 Y 0.500 0.500 0.741
In1 In 0.000 0.000 0.258
In2 In 0.000 0.000 0.500
In3 In 0.000 0.000 0.742
```

3.
Below is crystalline La2YIn at its relaxed geometry, with properties calculated at the GGA-PBE level.

The density comes out at 6.33 g/cm³. As for the crystal system: monoclinic. Its formation energy from the elements is -195 meV per atom.

Cell and atoms, written as CIF:
```
data_La2YIn
_symmetry_space_group_name_H-M 'P 1'
_symmetry_Int_Tables_number 1
_cell_length_a 6.253
_cell_length_b 6.253
_cell_length_c 5.906
_cell_angle_alpha 99.14
_cell_angle_beta 99.14
_cell_angle_gamma 33.70
loop_
_symmetry_equiv_pos_as_xyz
'x,y,z'
loop_
_atom_site_label
_atom_site_type_symbol
_atom_site_fract_x
_atom_site_fract_y
_atom_site_fract_z
La1 La 0.235 0.235 0.227
La2 La 0.765 0.765 0.773
Y1 Y 0.000 0.000 0.500
In1 In 0.500 0.500 0.000
```

4.
Below is crystalline LaY5In6 at its relaxed geometry, with properties calculated at the GGA-PBE level.

The density comes out at 6.44 g/cm³. As for the crystal system: orthorhombic. Its formation energy from the elements is -499 meV per atom.

Cell and atoms, written as CIF:
```
data_LaY5In6
_symmetry_space_group_name_H-M 'P 1'
_symmetry_Int_Tables_number 1
_cell_length_a 9.311
_cell_length_b 9.311
_cell_length_c 9.311
_cell_angle_alpha 146.46
_cell_angle_beta 132.03
_cell_angle_gamma 59.80
loop_
_symmetry_equiv_pos_as_xyz
'x,y,z'
loop_
_atom_site_label
_atom_site_type_symbol
_atom_site_fract_x
_atom_site_fract_y
_atom_site_fract_z
La1 La 0.000 0.000 0.000
Y1 Y 0.162 0.662 0.500
Y2 Y 0.332 0.332 0.000
Y3 Y 0.500 0.000 0.500
Y4 Y 0.668 0.668 0.000
Y5 Y 0.838 0.338 0.500
In1 In 0.087 0.829 0.257
In2 In 0.265 0.500 0.765
In3 In 0.428 0.171 0.257
In4 In 0.572 0.829 0.743
In5 In 0.735 0.500 0.235
In6 In 0.913 0.171 0.743
```

5.
Below is crystalline La2YIn at its relaxed geometry, with properties calculated at the GGA-PBE level.

The density comes out at 6.40 g/cm³. As for the crystal system: tetragonal. Its formation energy from the elements is -274 meV per atom.

Cell and atoms, written as CIF:
```
data_La2YIn
_symmetry_space_group_name_H-M 'P 1'
_symmetry_Int_Tables_number 1
_cell_length_a 6.268
_cell_length_b 6.268
_cell_length_c 6.268
_cell_angle_alpha 134.12
_cell_angle_beta 134.12
_cell_angle_gamma 66.90
loop_
_symmetry_equiv_pos_as_xyz
'x,y,z'
loop_
_atom_site_label
_atom_site_type_symbol
_atom_site_fract_x
_atom_site_fract_y
_atom_site_fract_z
La1 La 0.250 0.750 0.500
La2 La 0.750 0.250 0.500
Y1 Y 0.000 0.000 0.000
In1 In 0.500 0.500 0.000
```

6.
Below is crystalline LaYIn at its relaxed geometry, with properties calculated at the GGA-PBE level.

For the offset from the most stable computed form, the calculation gives 107 meV per atom. The density comes out at 6.07 g/cm³. As for the crystal system: trigonal. Its formation energy from the elements is -261 meV per atom.

Cell and atoms, written as CIF:
```
data_LaYIn
_symmetry_space_group_name_H-M 'P 1'
_symmetry_Int_Tables_number 1
_cell_length_a 5.340
_cell_length_b 5.340
_cell_length_c 3.795
_cell_angle_alpha 90.00
_cell_angle_beta 90.00
_cell_angle_gamma 120.00
loop_
_symmetry_equiv_pos_as_xyz
'x,y,z'
loop_
_atom_site_label
_atom_site_type_symbol
_atom_site_fract_x
_atom_site_fract_y
_atom_site_fract_z
La1 La 0.000 0.000 0.000
Y1 Y 0.667 0.333 0.445
In1 In 0.333 0.667 0.607
```